The following is a DFT calculation (PBE+U) of crystalline PuTiCo2O8 at its relaxed geometry.

Values from the calculation:
V	141.89	Å³ per cell
space group	I-4m2, No. 119
DOS(E_F)	2.71	states/eV/f.u.
final energy	-0.571	Ry per atom

abc: 5.695 5.695 5.695
angles: 110.99 110.99 106.47
Element x y z (fractional)
Pu 0.250 0.750 0.500
O 0.289 0.092 0.804
O 0.908 0.711 0.196
O 0.289 0.485 0.196
O 0.934 0.228 0.294
O 0.360 0.066 0.294
O 0.772 0.066 0.706
O 0.515 0.711 0.804
O 0.934 0.640 0.706
Co 0.750 0.250 0.500
Co 0.500 0.500 0.000
Ti 0.000 0.000 0.000